(1)
# Ta2AsBr

A relaxed structure of Ta2AsBr (PBE-GGA, Alexandria). Values from VASP.

The structure in Quantum ESPRESSO input format:
```
&SYSTEM
  ibrav = 0, nat = 4, ntyp = 3
/
ATOMIC_SPECIES
As 74.92 As.upf
Ta 180.95 Ta.upf
Br 79.90 Br.upf
ATOMIC_POSITIONS angstrom
As 5.2406 -7.5676 4.2961
Ta 4.0892 -5.3608 3.3026
Ta 6.3920 -9.7743 5.2895
Br 1.7469 -2.5225 1.4320
CELL_PARAMETERS angstrom
-0.3250 -4.0261 2.2056
1.5906 -4.2797 -0.5779
5.7219 -1.7843 4.1004
```

Summary:
SG: C2/m (12)

(2)
# Cr2GaH

A relaxed structure of Cr2GaH (PBE-GGA, Alexandria). Values from VASP.

The structure in Quantum ESPRESSO input format:
```
&SYSTEM
  ibrav = 0, nat = 4, ntyp = 3
/
ATOMIC_SPECIES
H 1.01 H.upf
Cr 52.00 Cr.upf
Ga 69.72 Ga.upf
ATOMIC_POSITIONS angstrom
H 0.0000 0.0000 0.0000
Cr 1.6274 -1.4641 -1.3101
Cr 4.8823 -4.3923 -3.9302
Ga 3.2549 -2.9282 -2.6201
CELL_PARAMETERS angstrom
3.7323 -0.1262 -1.8465
2.2503 -3.5049 0.0884
0.5271 -2.2254 -3.4822
```

Summary:
SG: Fm-3m (225)

(3)
# RbTm3F10

A relaxed structure of RbTm3F10 (PBE-GGA, Alexandria). Values from VASP.

The structure in Quantum ESPRESSO input format:
```
&SYSTEM
  ibrav = 0, nat = 28, ntyp = 3
/
ATOMIC_SPECIES
F 19.00 F.upf
Tm 168.93 Tm.upf
Rb 85.47 Rb.upf
ATOMIC_POSITIONS angstrom
F 0.3262 1.9584 5.1003
F 0.1596 0.9580 2.4949
F 3.4427 6.0474 1.8308
F 0.5250 2.5936 0.4070
F 4.3282 8.5823 5.1738
F 4.9692 4.4991 6.7007
F 5.6747 7.9843 7.2477
F 1.2327 6.2600 3.3270
F 2.3695 0.7455 0.9987
F 4.8440 1.5240 2.0416
F 0.8512 4.5520 5.5073
F 2.6957 2.7039 6.0990
F 3.8371 6.3845 7.9795
F 3.6227 5.0971 4.6269
F 5.0035 2.4820 4.5365
F 5.4603 6.6969 3.8951
F 5.3689 4.1176 2.4486
F 6.8068 6.0989 5.9689
F 2.4906 6.9825 5.9057
F 1.0732 5.3019 0.8321
Tm 3.4149 8.5954 7.3309
Tm 6.6513 8.2841 5.1398
Tm 3.1813 7.1924 3.6773
Tm 6.1161 5.8890 8.1973
Tm 2.6461 4.7973 6.7348
Tm 5.8825 4.4861 4.5437
Rb 2.3244 3.2704 2.9686
Rb 6.9731 9.8111 8.9059
CELL_PARAMETERS angstrom
0.4857 2.9165 7.5952
7.2135 2.2695 3.0403
1.5982 7.8955 1.2391
```

Summary:
SG: Fm-3m (225)

(4)
# Zn6NiPt5

A relaxed structure of Zn6NiPt5 (PBE-GGA, Alexandria). Values from VASP.

The structure in Quantum ESPRESSO input format:
```
&SYSTEM
  ibrav = 0, nat = 12, ntyp = 3
/
ATOMIC_SPECIES
Pt 195.08 Pt.upf
Ni 58.69 Ni.upf
Zn 65.41 Zn.upf
ATOMIC_POSITIONS angstrom
Pt 1.5106 -0.0159 -2.4298
Pt 0.2263 -3.5011 0.1637
Pt 4.2073 -3.1924 -0.7325
Pt 1.7760 -3.5198 -2.2418
Pt 2.7358 -3.1792 1.7217
Ni 0.0000 0.0000 0.0000
Zn 3.9335 -5.1000 -2.5996
Zn 2.4006 -5.0839 -0.1338
Zn 3.5827 -1.6283 -2.8405
Zn 6.3169 -4.8280 -1.1294
Zn -0.3336 -1.8841 -1.8449
Zn 2.0498 -1.6121 -0.3747
CELL_PARAMETERS angstrom
-2.1467 -3.7526 -1.3100
3.0212 -0.0319 -4.8597
5.1089 -2.9276 3.1953
```

Summary:
SG: P2/m (10)
Energy relative to the elements: -0.520 eV per atom

(5)
# Sm6Y8Pb

A relaxed structure of Sm6Y8Pb (PBE-GGA, Alexandria). Values from VASP.

The structure in Quantum ESPRESSO input format:
```
&SYSTEM
  ibrav = 0, nat = 15, ntyp = 3
/
ATOMIC_SPECIES
Y 88.91 Y.upf
Sm 150.36 Sm.upf
Pb 207.20 Pb.upf
ATOMIC_POSITIONS angstrom
Y 1.2026 2.1639 0.9021
Y 1.2026 6.3385 -3.3122
Y 1.0515 5.4678 0.0000
Y 1.2026 7.9009 2.4102
Y 5.2351 0.3008 2.3250
Y 5.2351 1.8631 8.0475
Y 5.2351 6.0377 3.8332
Y 5.3863 2.7339 4.7352
Sm 2.0569 4.4867 3.4603
Sm 4.3808 5.2401 -2.1554
Sm 2.0569 0.7534 3.8547
Sm 4.3808 7.4483 0.8806
Sm 4.3808 3.7149 1.2749
Sm 2.0569 2.9616 6.8907
Pb 3.2189 0.0000 0.0000
CELL_PARAMETERS angstrom
6.4377 0.0000 0.0000
0.0000 8.2017 -4.7352
0.0000 0.0000 9.4704
```

Summary:
SG: P-3 (147)
Energy relative to the elements: 0.062 eV per atom

(6)
# Sr4LiGa3

A relaxed structure of Sr4LiGa3 (PBE-GGA, Alexandria). Values from VASP.

The structure in Quantum ESPRESSO input format:
```
&SYSTEM
  ibrav = 0, nat = 8, ntyp = 3
/
ATOMIC_SPECIES
Sr 87.62 Sr.upf
Ga 69.72 Ga.upf
Li 6.94 Li.upf
ATOMIC_POSITIONS angstrom
Sr -1.6401 0.4085 0.3592
Sr -7.8317 1.4315 -0.7026
Sr -5.1953 -1.5491 -0.9027
Sr -10.0127 0.1699 2.5700
Ga -6.7814 -0.6349 1.8623
Ga -11.1850 2.2668 0.0318
Ga -4.9612 1.2357 1.0865
Li -1.6079 -2.4427 -1.6884
CELL_PARAMETERS angstrom
-1.1870 -0.7427 -4.5755
-0.8941 -4.4253 0.9502
-11.2633 2.8054 2.4667
```

Summary:
SG: Pmm2 (25)
Energy relative to the elements: -0.289 eV per atom

(7)
# Sm2HgS

A relaxed structure of Sm2HgS (PBE-GGA, Alexandria). Values from VASP.

The structure in Quantum ESPRESSO input format:
```
&SYSTEM
  ibrav = 0, nat = 4, ntyp = 3
/
ATOMIC_SPECIES
Sm 150.36 Sm.upf
Hg 200.59 Hg.upf
S 32.06 S.upf
ATOMIC_POSITIONS angstrom
Sm -1.1327 -6.2349 1.9609
Sm -1.9390 -1.9754 0.4789
Hg -3.7662 -4.5415 1.1633
S -5.3111 -8.5989 2.3665
CELL_PARAMETERS angstrom
-3.5120 -0.0455 1.7799
-3.1764 -1.2779 -1.9447
-0.8466 -7.7463 2.4867
```

Summary:
SG: R3m (160)

(8)
# YThGaSi

A relaxed structure of YThGaSi (PBE-GGA, Alexandria). Values from VASP.

The structure in Quantum ESPRESSO input format:
```
&SYSTEM
  ibrav = 0, nat = 4, ntyp = 4
/
ATOMIC_SPECIES
Ga 69.72 Ga.upf
Y 88.91 Y.upf
Th 232.04 Th.upf
Si 28.09 Si.upf
ATOMIC_POSITIONS angstrom
Ga -1.2346 -2.7320 -0.6906
Y -0.9076 -4.4560 1.9246
Th 0.1622 -0.8550 1.2970
Si 0.4818 -2.5397 3.8524
CELL_PARAMETERS angstrom
-4.0616 -1.5330 -0.5027
1.4276 -3.0618 -2.1970
2.5988 -2.2274 4.7928
```

Summary:
SG: Amm2 (38)

(9)
# CaIn2Pt

A relaxed structure of CaIn2Pt (PBE-GGA, Alexandria). Values from VASP.

The structure in Quantum ESPRESSO input format:
```
&SYSTEM
  ibrav = 0, nat = 4, ntyp = 3
/
ATOMIC_SPECIES
Ca 40.08 Ca.upf
In 114.82 In.upf
Pt 195.08 Pt.upf
ATOMIC_POSITIONS angstrom
Ca -1.3047 -0.0558 5.9822
In 0.1040 -0.1745 0.4345
In 0.5625 0.3416 3.2678
Pt -1.9713 -0.2230 2.2799
CELL_PARAMETERS angstrom
-4.6091 -0.6131 0.8575
0.8849 -2.6330 2.8742
0.4482 2.9672 4.5304
```

Summary:
SG: P2/m (10)
Energy relative to the elements: -0.454 eV per atom

(10)
# Al2CdBr

A relaxed structure of Al2CdBr (PBE-GGA, Alexandria). Values from VASP.

The structure in Quantum ESPRESSO input format:
```
&SYSTEM
  ibrav = 0, nat = 4, ntyp = 3
/
ATOMIC_SPECIES
Al 26.98 Al.upf
Cd 112.41 Cd.upf
Br 79.90 Br.upf
ATOMIC_POSITIONS angstrom
Al 0.5178 -0.9190 0.0549
Al -2.0300 -1.9840 0.2596
Cd -0.3140 -5.4823 -0.7679
Br 1.6713 -3.1991 -0.4449
CELL_PARAMETERS angstrom
-4.7194 -2.6011 0.9743
0.3477 -1.7359 -2.9500
2.6953 -4.2531 1.7015
```

Summary:
SG: Pm (6)

(11)
# TaCuReSe2

A relaxed structure of TaCuReSe2 (PBE-GGA, Alexandria). Values from VASP.

The structure in Quantum ESPRESSO input format:
```
&SYSTEM
  ibrav = 0, nat = 5, ntyp = 4
/
ATOMIC_SPECIES
Se 78.96 Se.upf
Re 186.21 Re.upf
Cu 63.55 Cu.upf
Ta 180.95 Ta.upf
ATOMIC_POSITIONS angstrom
Se 2.4807 0.0000 0.0000
Se 0.0000 0.0000 2.4807
Re 2.4807 2.4716 2.4807
Cu 0.0000 2.4716 0.0000
Ta 0.0000 0.0000 0.0000
CELL_PARAMETERS angstrom
4.9613 0.0000 0.0000
0.0000 4.9432 0.0000
0.0000 0.0000 4.9613
```

Summary:
SG: P4/mmm (123)

(12)
# Ca2Ge3Pd4Pb

A relaxed structure of Ca2Ge3Pd4Pb (PBE-GGA, Alexandria). Values from VASP.

The structure in Quantum ESPRESSO input format:
```
&SYSTEM
  ibrav = 0, nat = 10, ntyp = 4
/
ATOMIC_SPECIES
Pd 106.42 Pd.upf
Pb 207.20 Pb.upf
Ca 40.08 Ca.upf
Ge 72.64 Ge.upf
ATOMIC_POSITIONS angstrom
Pd 2.1846 0.0000 7.0746
Pd 0.0000 2.1846 3.7055
Pd 2.1846 2.1846 0.0000
Pd 0.0000 0.0000 0.0000
Pb 2.1846 2.1846 5.3900
Ca 0.0000 2.1846 8.2192
Ca 2.1846 0.0000 2.5609
Ge 0.0000 0.0000 5.3900
Ge 2.1846 0.0000 9.5088
Ge 0.0000 2.1846 1.2713
CELL_PARAMETERS angstrom
4.3691 0.0000 0.0000
0.0000 4.3691 0.0000
0.0000 0.0000 10.7801
```

Summary:
SG: P-4m2 (115)
Energy relative to the elements: -0.609 eV per atom

(13)
# Tm2AlSiC

A relaxed structure of Tm2AlSiC (PBE-GGA, Alexandria). Values from VASP.

The structure in Quantum ESPRESSO input format:
```
&SYSTEM
  ibrav = 0, nat = 10, ntyp = 4
/
ATOMIC_SPECIES
C 12.01 C.upf
Tm 168.93 Tm.upf
Si 28.09 Si.upf
Al 26.98 Al.upf
ATOMIC_POSITIONS angstrom
C -0.9105 0.3204 3.0375
C -0.4667 -5.4487 4.8059
Tm -2.1459 -3.6492 5.2925
Tm -5.1111 -1.5125 2.6003
Tm 0.7687 -1.4791 2.5510
Tm 3.7339 -3.6158 5.2431
Si -2.5976 -3.1746 2.3581
Si 1.2204 -1.9537 5.4854
Al 0.7621 -4.0350 4.3242
Al -2.1393 -1.0933 3.5193
CELL_PARAMETERS angstrom
-1.1959 2.0403 2.9366
-5.5021 -3.6342 0.2843
5.3209 -3.5344 4.6226
```

Summary:
SG: P2_1/m (11)

(14)
# NdInSe3

A relaxed structure of NdInSe3 (PBE-GGA, Alexandria). Values from VASP.

The structure in Quantum ESPRESSO input format:
```
&SYSTEM
  ibrav = 0, nat = 10, ntyp = 3
/
ATOMIC_SPECIES
Nd 144.24 Nd.upf
Se 78.96 Se.upf
In 114.82 In.upf
ATOMIC_POSITIONS angstrom
Nd 1.0708 2.5621 5.4750
Nd 3.2123 5.4884 3.1205
Se 1.0708 3.5440 2.7271
Se 3.2123 4.5065 5.8684
Se 1.0708 6.3941 8.6517
Se 3.2123 1.6564 -0.0562
Se 1.0708 7.2477 1.8517
Se 3.2123 0.8028 6.7437
In 3.2123 7.1967 7.3005
In 1.0708 0.8538 1.2950
CELL_PARAMETERS angstrom
4.2831 0.0000 0.0000
0.0000 7.1875 -1.9408
0.0000 0.8631 10.5362
```

Summary:
SG: P2_1/m (11)

(15)
# Mg14SnMo

A relaxed structure of Mg14SnMo (PBE-GGA, Alexandria). Values from VASP.

The structure in Quantum ESPRESSO input format:
```
&SYSTEM
  ibrav = 0, nat = 16, ntyp = 3
/
ATOMIC_SPECIES
Mg 24.30 Mg.upf
Mo 95.94 Mo.upf
Sn 118.71 Sn.upf
ATOMIC_POSITIONS angstrom
Mg 4.6555 -0.8939 0.0000
Mg 3.0957 3.5738 7.6398
Mg 1.5360 -0.8939 0.0000
Mg 3.0957 -1.8117 7.7766
Mg 3.0957 -1.8117 2.5161
Mg 3.0957 -3.6410 0.0000
Mg 1.5920 0.9175 2.6614
Mg 4.6412 -0.9119 5.1464
Mg 1.5503 -0.9119 5.1464
Mg 3.0957 3.5738 2.6529
Mg 1.5920 0.9175 7.6314
Mg 4.5995 0.9175 2.6614
Mg 3.0957 1.8254 0.0000
Mg 4.5995 0.9175 7.6314
Mo 3.0957 1.8194 5.1464
Sn 3.0957 -3.5864 5.1464
CELL_PARAMETERS angstrom
3.0957 -5.4529 0.0000
3.0957 5.4529 0.0000
0.0000 0.0000 10.2927
```

Summary:
SG: Amm2 (38)
Energy relative to the elements: 0.065 eV per atom

(16)
# NdHf2RhN4

A relaxed structure of NdHf2RhN4 (PBE-GGA, Alexandria). Values from VASP.

The structure in Quantum ESPRESSO input format:
```
&SYSTEM
  ibrav = 0, nat = 16, ntyp = 4
/
ATOMIC_SPECIES
N 14.01 N.upf
Hf 178.49 Hf.upf
Rh 102.91 Rh.upf
Nd 144.24 Nd.upf
ATOMIC_POSITIONS angstrom
N 0.0000 0.0000 0.0000
N -1.3245 0.6876 2.9629
N -1.2682 -1.6245 5.3414
N -3.1910 -0.6036 0.3486
N -4.3069 -0.6527 6.2053
N -5.0420 -1.5943 9.3012
N -6.9084 -2.8854 6.6870
N -3.9261 -1.5452 3.4446
Hf -6.4312 -3.4466 9.0827
Hf -1.8018 1.2487 0.5672
Hf -5.4173 -2.1479 4.8123
Hf -2.8157 -0.0500 4.8375
Rh -5.9759 -1.2402 7.4088
Rh -2.2571 -0.9577 2.2411
Nd -3.1639 -2.5498 7.6781
Nd -5.0691 0.3519 1.9717
CELL_PARAMETERS angstrom
-0.4929 3.0792 0.8194
-5.2037 -2.0281 -1.8523
-2.5364 -3.2489 10.6828
```

Summary:
SG: Cmcm (63)

(17)
# CaTcCl2

A relaxed structure of CaTcCl2 (PBE-GGA, Alexandria). Values from VASP.

The structure in Quantum ESPRESSO input format:
```
&SYSTEM
  ibrav = 0, nat = 4, ntyp = 3
/
ATOMIC_SPECIES
Cl 35.45 Cl.upf
Ca 40.08 Ca.upf
Tc 98.00 Tc.upf
ATOMIC_POSITIONS angstrom
Cl 9.6557 3.1186 1.0611
Cl 7.6212 2.4615 4.1463
Ca 2.4457 0.7899 0.6856
Tc 5.8941 1.9037 2.6262
CELL_PARAMETERS angstrom
5.5397 0.0072 0.0095
4.4973 3.2346 0.0095
0.3494 0.1129 5.6478
```

Summary:
SG: Cm (8)

(18)
# Ac8PtRh3Au4

A relaxed structure of Ac8PtRh3Au4 (PBE-GGA, Alexandria). Values from VASP.

The structure in Quantum ESPRESSO input format:
```
&SYSTEM
  ibrav = 0, nat = 16, ntyp = 4
/
ATOMIC_SPECIES
Au 196.97 Au.upf
Ac 227.00 Ac.upf
Pt 195.08 Pt.upf
Rh 102.91 Rh.upf
ATOMIC_POSITIONS angstrom
Au 3.9408 -0.4790 -1.8613
Au 2.3427 3.5348 -1.1140
Au 0.0000 0.0000 0.0000
Au -1.5981 4.0138 0.7473
Ac 6.2277 -0.4505 3.0402
Ac 0.7067 4.0231 5.6259
Ac 1.3468 5.0229 1.6251
Ac 2.9774 1.0222 0.8768
Ac -2.5437 5.4958 3.4625
Ac -0.9659 1.5333 2.7247
Ac 4.6500 3.5121 3.7780
Ac 2.3373 0.0225 4.8777
Pt -0.5006 -1.0121 4.3653
Rh 3.4402 -1.4911 2.5040
Rh 1.8420 2.5227 3.2514
Rh -2.0987 3.0017 5.1127
CELL_PARAMETERS angstrom
-3.1963 8.0276 1.4946
-1.0012 -2.0242 8.7307
7.8816 -0.9580 -3.7226
```

Summary:
SG: R-3m (166)
Energy relative to the elements: -0.826 eV per atom

(19)
# AcSc2In2Hg2

A relaxed structure of AcSc2In2Hg2 (PBE-GGA, Alexandria). Values from VASP.

The structure in Quantum ESPRESSO input format:
```
&SYSTEM
  ibrav = 0, nat = 7, ntyp = 4
/
ATOMIC_SPECIES
Hg 200.59 Hg.upf
Ac 227.00 Ac.upf
Sc 44.96 Sc.upf
In 114.82 In.upf
ATOMIC_POSITIONS angstrom
Hg 4.8638 2.8081 6.1310
Hg 4.8638 2.8081 2.9693
Ac 0.0000 0.0000 0.0000
Sc 2.4319 1.4041 5.3273
Sc 7.2957 4.2122 3.7730
In 2.4319 1.4041 2.0704
In 7.2957 4.2122 7.0299
CELL_PARAMETERS angstrom
4.8638 0.0000 0.0000
2.4319 4.2122 0.0000
2.4319 1.4041 9.1003
```

Summary:
SG: R-3m (166)
Energy relative to the elements: -0.322 eV per atom

(20)
# Sm2ScAg2

A relaxed structure of Sm2ScAg2 (PBE-GGA, Alexandria). Values from VASP.

The structure in Quantum ESPRESSO input format:
```
&SYSTEM
  ibrav = 0, nat = 5, ntyp = 3
/
ATOMIC_SPECIES
Ag 107.87 Ag.upf
Sm 150.36 Sm.upf
Sc 44.96 Sc.upf
ATOMIC_POSITIONS angstrom
Ag 3.8902 4.7348 1.7818
Ag 3.8902 2.9847 4.0847
Sm 1.9451 2.2303 1.6949
Sm 5.8354 5.4892 4.1716
Sc 0.0000 0.0000 0.0000
CELL_PARAMETERS angstrom
3.8902 0.0000 0.0000
1.9451 5.9620 0.1670
1.9451 1.7575 5.6996
```

Summary:
SG: Immm (71)
Energy relative to the elements: -0.134 eV per atom

Values for spin magnetization, μB per formula unit, ordered as above
0.0, 6.1, 0.2, 0.0, 0.0, 0.0, 0.0, 0.0, 0.0, 0.0, 5.3, 0.0, 0.0, 0.0, 1.6, 0.0, 2.8, 0.0, 0.5, 0.0
Values for final energy, eV per atom, ordered as above
-7.383, -5.720, -6.377, -4.155, -5.520, -2.504, -4.633, -6.256, -3.834, -2.457, -5.734, -4.843, -5.968, -4.753, -2.257, -9.314, -4.462, -5.456, -3.586, -4.428